The following is a PBE-GGA calculation of a geometry-optimized LaTiP2Ru structure, from Alexandria.

Cell: 6.606 6.606 6.606 Å, 145.46 145.46 49.64°
Positions (direct):
La  0.000  0.000  0.000
Ti  0.250  0.750  0.500
P  0.370  0.370  0.000
P  0.630  0.630  0.000
Ru  0.750  0.250  0.500

Properties
- Uncorrected energy: -38.4 eV/f.u.
- Space-group type: I-4m2 (119)
- Formation enthalpy at 0 K: -1.102 eV/atom

=====

The following is a PBE-GGA calculation of a geometry-optimized MgCd2 structure, from Alexandria.

Cell: 13.981 13.981 13.981 Å, 167.06 167.06 18.33°
Positions (direct):
Mg  0.375  0.625  0.750
Mg  0.625  0.375  0.250
Cd  0.047  0.797  0.250
Cd  0.203  0.953  0.250
Cd  0.797  0.047  0.750
Cd  0.953  0.203  0.750

Properties
- Uncorrected energy: -3.6 eV/f.u.
- Space-group type: I4_1/amd (141)
- Formation enthalpy at 0 K: -0.046 eV/atom